! Tb2Pm3Pr, relaxed, DFT GGA-PBE; values from VASP
! formation enthalpy at 0 K = 0.88 eV per formula unit
! space group = Imma (74)
! final energy = -4.569 eV/atom
! volume = 417 Å³ per cell
! M_tot = 0.00 Bohr magnetons per cell
! crystal system = orthorhombic
&SYSTEM
  ibrav = 0, nat = 12, ntyp = 3
/
ATOMIC_SPECIES
Pr 140.91 Pr.upf
Pm 145.00 Pm.upf
Tb 158.93 Tb.upf
CELL_PARAMETERS angstrom
-1.7115 6.1049 -1.4541
-4.8010 -2.5051 -4.8667
-2.9380 -2.0486 9.4072
ATOMIC_POSITIONS crystal
Pr 0.7598 0.2500 0.0000
Pm 0.8211 0.0691 0.6377
Tb 0.3523 0.3521 0.7045
Tb 0.6477 0.6479 0.2955
Pm 0.7430 0.7500 0.0000
Tb 0.6478 0.1479 0.2955
Pm 0.2570 0.2500 0.0000
Pm 0.1789 0.9309 0.3623
Pm 0.8166 0.5691 0.6377
Pr 0.2402 0.7500 0.0000
Pm 0.1834 0.4309 0.3623
Tb 0.3522 0.8521 0.7045